LiNdZnCo: optimized geometry, PBE.

Unit cell a=4.621 b=4.621 c=4.621 alpha=60.00 beta=60.00 gamma=60.00
Fractional positions:
Zn  0.000  0.000  0.000
Co  0.750  0.750  0.750
Li  0.250  0.250  0.250
Nd  0.500  0.500  0.500

Values from the calculation:
The crystal system is cubic. The formation energy from the elements is 0.0 eV/f.u. The density comes out at 6.56 g cm⁻³. For the electronic total energy, the calculation gives -15.023 eV for the cell shown. The calculation puts the total magnetic moment at 0.000 μB per atom.